Density functional theory data (PBE) for a geometry-optimized TbPmDy2Tm2 structure.

Structure (POSCAR):
```
TbPmDy2Tm2
1.0
-2.099 -1.433 2.232
5.091 -1.872 3.586
-0.777 15.237 9.055
Dy Tm Pm Tb
4 4 2 2
Direct
0.000 0.224 0.813
0.500 0.276 0.313
0.500 0.724 0.687
0.000 0.776 0.187
0.000 0.278 0.148
0.000 0.722 0.852
0.500 0.778 0.352
0.500 0.222 0.648
0.500 0.500 0.500
0.000 0.000 0.000
0.500 0.500 0.000
0.000 0.000 0.500
```

Results
The final energy is -4.307 eV/atom. The formation energy comes out at 0.28 eV/atom. The value obtained for the total magnetization is 0.00 μB/cell.

=====

Density functional theory data (PBE) for a geometry-optimized TbPm3Dy2Tm6 structure.

Structure (POSCAR):
```
TbPm3Dy2Tm6
1.0
6.145 0.001 -0.001
-3.070 5.323 -0.001
-1.019 -1.764 11.490
Tm Pm Dy Tb
6 3 2 1
Direct
0.749 0.749 0.247
0.416 0.083 0.247
0.584 0.917 0.753
0.251 0.251 0.753
0.083 0.416 0.247
0.917 0.584 0.753
0.167 0.833 0.500
0.500 0.500 0.500
0.833 0.167 0.500
0.333 0.667 0.000
0.667 0.333 0.000
0.000 0.000 0.000
```

Results
The final energy is -4.556 eV/atom. The formation energy comes out at 0.02 eV/atom. The value obtained for the total magnetization is 0.00 μB/cell.

=====

Density functional theory data (PBE) for a geometry-optimized TbPm2DyTm4 structure.

Structure (POSCAR):
```
TbPm2DyTm4
1.0
11.879 -0.566 -2.826
0.310 7.084 -0.119
-8.699 -3.036 8.039
Tm Tb Dy Pm
8 2 2 4
Direct
0.250 0.250 0.499
0.750 0.750 0.501
0.750 0.251 0.501
0.750 0.750 0.999
0.249 0.250 0.001
0.250 0.749 0.499
0.249 0.750 0.000
0.751 0.250 0.000
0.000 0.500 0.500
0.000 0.500 0.000
0.000 0.000 0.000
0.500 0.500 0.500
0.500 0.000 0.000
0.500 0.000 0.500
0.000 0.000 0.500
0.500 0.500 0.000
```

Results
The final energy is -4.559 eV/atom. The formation energy comes out at 0.02 eV/atom. The value obtained for the total magnetization is 0.00 μB/cell.

=====

Density functional theory data (PBE) for a geometry-optimized Tb2Pm4DyTm structure.

Structure (POSCAR):
```
Tb2Pm4DyTm
1.0
-1.693 -2.236 -4.268
0.543 -4.565 2.176
-8.914 -4.042 5.654
Dy Tb Pm Tm
1 2 4 1
Direct
0.500 0.500 0.000
0.000 0.000 0.000
0.500 0.000 0.500
0.000 0.249 0.251
0.500 0.749 0.251
0.000 0.751 0.749
0.500 0.251 0.749
0.000 0.500 0.500
```

Results
The final energy is -4.652 eV/atom. The formation energy comes out at 0.02 eV/atom. The value obtained for the total magnetization is 0.00 μB/cell.

=====

Density functional theory data (PBE) for a geometry-optimized Tb2PmDyTm structure.

Structure (POSCAR):
```
Tb2PmDyTm
1.0
-6.399 0.727 3.207
0.337 -8.001 2.486
2.437 5.612 3.591
Tm Pm Tb Dy
2 2 4 2
Direct
0.750 0.724 0.448
0.250 0.276 0.552
0.750 0.273 0.547
0.250 0.727 0.453
0.000 0.691 0.000
0.000 0.309 0.000
0.500 0.691 0.000
0.500 0.309 0.000
0.250 0.997 0.993
0.750 0.003 0.007
```

Results
The final energy is -4.218 eV/atom. The formation energy comes out at 0.40 eV/atom. The value obtained for the total magnetization is 0.00 μB/cell.

=====

Density functional theory data (PBE) for a geometry-optimized TbPmDy3Tm structure.

Structure (POSCAR):
```
TbPmDy3Tm
1.0
5.022 0.000 0.000
-2.511 7.539 0.000
0.000 0.000 10.060
Dy Pm Tm Tb
6 2 2 2
Direct
0.667 0.335 0.000
0.667 0.335 0.500
0.168 0.336 0.750
0.333 0.665 0.000
0.333 0.665 0.500
0.832 0.664 0.250
0.500 0.999 0.750
0.500 0.001 0.250
0.168 0.335 0.250
0.832 0.665 0.750
0.000 0.000 0.000
0.000 0.000 0.500
```

Results
The final energy is -4.590 eV/atom. The formation energy comes out at 0.02 eV/atom. The value obtained for the total magnetization is 0.00 μB/cell.

=====

Density functional theory data (PBE) for a geometry-optimized Tb4PmDy2Tm2 structure.

Structure (POSCAR):
```
Tb4PmDy2Tm2
1.0
3.582 0.000 0.000
-1.791 9.278 -0.527
0.000 -3.629 8.797
Tb Pm Tm Dy
4 1 2 2
Direct
0.186 0.371 0.334
0.814 0.629 0.666
0.519 0.037 0.335
0.481 0.963 0.665
0.000 0.000 0.000
0.332 0.664 0.999
0.668 0.336 0.001
0.148 0.297 0.668
0.852 0.703 0.332
```

Results
The final energy is -4.598 eV/atom. The formation energy comes out at 0.00 eV/atom. The value obtained for the total magnetization is 0.00 μB/cell.

=====

Density functional theory data (PBE) for a geometry-optimized Tb2Pm3DyTm6 structure.

Structure (POSCAR):
```
Tb2Pm3DyTm6
1.0
6.148 0.001 -0.001
-3.072 5.326 -0.001
-1.019 -1.765 11.491
Pm Tm Tb Dy
3 6 2 1
Direct
0.500 0.500 0.500
0.833 0.167 0.500
0.167 0.833 0.500
0.584 0.917 0.752
0.251 0.251 0.752
0.917 0.584 0.752
0.416 0.083 0.248
0.083 0.416 0.248
0.749 0.749 0.248
0.333 0.667 0.000
0.667 0.333 0.000
0.000 0.000 0.000
```

Results
The final energy is -4.559 eV/atom. The formation energy comes out at 0.02 eV/atom. The value obtained for the total magnetization is 0.00 μB/cell.

=====

Density functional theory data (PBE) for a geometry-optimized Tb2PmDyTm4 structure.

Structure (POSCAR):
```
Tb2PmDyTm4
1.0
9.283 -0.062 -1.744
-0.068 9.283 -1.744
-5.836 -5.840 8.263
Tm Tb Pm Dy
8 4 2 2
Direct
0.750 0.249 0.999
0.250 0.751 0.001
0.251 0.750 0.501
0.749 0.250 0.499
0.749 0.750 0.999
0.750 0.751 0.501
0.251 0.250 0.001
0.250 0.249 0.499
0.500 0.000 0.500
0.000 0.000 0.500
0.500 0.000 0.000
0.500 0.500 0.000
0.000 0.500 0.000
0.000 0.500 0.500
0.000 0.000 0.000
0.500 0.500 0.500
```

Results
The final energy is -4.118 eV/atom. The formation energy comes out at 0.44 eV/atom. The value obtained for the total magnetization is 6.29 μB/cell.

=====

Density functional theory data (PBE) for a geometry-optimized TbPm2Dy5Tm structure.

Structure (POSCAR):
```
TbPm2Dy5Tm
1.0
8.603 0.000 0.000
0.000 8.603 0.000
-4.302 -4.302 7.851
Dy Tb Pm Tm
10 2 4 2
Direct
0.853 0.928 0.280
0.500 0.500 0.000
0.928 0.428 0.280
0.072 0.572 0.720
0.353 0.853 0.280
0.147 0.072 0.720
0.647 0.147 0.720
0.000 0.000 0.000
0.428 0.353 0.280
0.572 0.647 0.720
0.250 0.250 0.500
0.750 0.750 0.500
0.882 0.618 0.000
0.618 0.118 0.000
0.118 0.382 0.000
0.382 0.882 0.000
0.750 0.250 0.500
0.250 0.750 0.500
```

Results
The final energy is -4.344 eV/atom. The formation energy comes out at 0.28 eV/atom. The value obtained for the total magnetization is 0.00 μB/cell.